First-principles (GGA-PBE) data for a relaxed Tm6HgP2Se3 crystal, as listed in Alexandria via LeMat-Bulk.

Structure (POSCAR):
```
Tm6HgP2Se3
1.0
-1.918 -2.094 2.771
-2.474 -5.344 -5.751
8.636 -2.341 1.367
Tm Hg P Se
6 1 2 3
direct
0.331 0.897 0.661 Tm
0.673 0.572 0.346 Tm
0.669 0.103 0.339 Tm
0.006 0.260 0.013 Tm
0.994 0.740 0.987 Tm
0.327 0.428 0.654 Tm
0.500 0.000 0.000 Hg
0.832 0.662 0.664 P
0.168 0.338 0.336 P
0.500 0.500 0.000 Se
0.833 0.168 0.666 Se
0.167 0.832 0.334 Se
```

## Properties
- formation energy from raw total energies (eV/atom) = -1.47
- DOS at the Fermi energy (states/eV per cell) = 4.27
- electronic total energy (eV for the cell shown) = -66.02



First-principles (GGA-PBE) data for a relaxed BC2 crystal, as listed in Alexandria via LeMat-Bulk.

Structure (POSCAR):
```
BC2
1.0
2.535 0.000 0.000
0.000 3.797 -0.039
0.000 -0.083 8.037
B C
4 8
direct
0.000 0.266 0.201 B
0.000 0.017 0.965 B
0.500 0.727 0.010 B
0.500 0.508 0.503 B
0.500 0.504 0.174 C
0.000 0.211 0.502 C
0.000 0.980 0.343 C
0.500 0.743 0.336 C
0.500 0.509 0.818 C
0.000 0.277 0.818 C
0.000 0.998 0.664 C
0.500 0.759 0.667 C
```

## Properties
- DOS at the Fermi energy (states/eV per cell) = 1.20
- distance to the lowest polymorph of the same formula (meV per atom) = 131
- electronic total energy (eV for the cell shown) = -96.05
- ΔE_f (eV/atom) = 0.371



First-principles (GGA-PBE) data for a relaxed Sb2IrAu crystal, as listed in Alexandria via LeMat-Bulk.

Structure (POSCAR):
```
Sb2IrAu
1.0
-0.719 3.652 3.333
-2.977 -3.006 2.651
2.578 -1.049 1.706
Au Ir Sb
1 1 2
direct
0.500 0.000 0.500 Au
0.000 0.500 0.500 Ir
0.000 0.000 0.000 Sb
0.500 0.500 0.000 Sb
```

## Properties
- formation energy from raw total energies (eV/atom) = 0.27
- DOS at the Fermi energy (states/eV per cell) = 2.08
- distance to the lowest polymorph of the same formula (meV per atom) = 279
- electronic total energy (eV for the cell shown) = -19.30